A relaxed TbHo2H8 crystal. Source: Alexandria via LeMat-Bulk, functional PBE.

```
data_TbHo2H8
_chemical_formula_sum 'Tb2 Ho4 H16'
_symmetry_space_group_name_H-M 'I m m m'
_symmetry_Int_Tables_number 71
_symmetry_space_group_name_Hall '-I 2 2'
_cell_length_a 3.623
_cell_length_b 5.135
_cell_length_c 10.876
_cell_angle_alpha 90.00
_cell_angle_beta 90.00
_cell_angle_gamma 90.00
loop_
_atom_site_label
_atom_site_fract_x
_atom_site_fract_y
_atom_site_fract_z
_atom_site_occupancy
Tb1 0.000 0.000 0.000 1
Ho1 0.000 0.000 0.331 1
H1 0.000 0.226 0.500 1
H2 0.000 0.262 0.163 1
H3 0.000 0.500 0.343 1
```

Summary:
D(E_F) (states/eV per cell): 2.1
E_tot (eV per cell): -95.02
V (Å³/atom): 9.20